Model one:
## AgMoAu2 (GGA-PBEsol)

Data for a relaxed structure of AgMoAu2.

Lattice parameters (Å, degrees): 4.1276 4.1276 7.6673 90.00 90.00 90.00
Atoms (fractional coordinates):
Ag (0.0000, 0.0000, 0.0000)
Ag (0.5000, 0.5000, 0.5000)
Mo (0.0000, 0.5000, 0.7500)
Mo (0.5000, 0.0000, 0.2500)
Au (0.0000, 0.0000, 0.5000)
Au (0.0000, 0.5000, 0.2500)
Au (0.5000, 0.0000, 0.7500)
Au (0.5000, 0.5000, 0.0000)

Model two:
## AgMoAu2 (GGA-PBEsol)

Data for a relaxed structure of AgMoAu2.

Lattice parameters (Å, degrees): 2.7466 4.9166 9.9079 90.00 90.00 90.00
Atoms (fractional coordinates):
Ag (0.0000, 0.0000, 0.0000)
Ag (0.5000, 0.5000, 0.5000)
Mo (0.0000, 0.5000, 0.2444)
Mo (0.5000, 0.0000, 0.7444)
Au (0.0000, 0.0000, 0.5061)
Au (0.0000, 0.5000, 0.7556)
Au (0.5000, 0.0000, 0.2556)
Au (0.5000, 0.5000, 0.0061)

Stability, descending: model two, model one

Model one:
## AgOs2Au (GGA-PBEsol)

Data for a relaxed structure of AgOs2Au.

Lattice parameters (Å, degrees): 5.4312 9.7308 2.6836 90.00 119.42 90.00
Atoms (fractional coordinates):
Ag (0.0000, 0.0000, 0.0000)
Ag (0.5000, 0.5000, 0.0000)
Os (0.2500, 0.2500, 0.5000)
Os (0.2500, 0.7500, 0.5000)
Os (0.7500, 0.2500, 0.5000)
Os (0.7500, 0.7500, 0.5000)
Au (0.0000, 0.5000, 0.0000)
Au (0.5000, 0.0000, 0.0000)

Model two:
## AgOs2Au (GGA-PBEsol)

Data for a relaxed structure of AgOs2Au.

Lattice parameters (Å, degrees): 2.6982 4.2936 5.3021 90.00 90.00 90.00
Atoms (fractional coordinates):
Ag (0.0000, 0.0000, 0.0000)
Os (0.5000, 0.5000, 0.2339)
Os (0.5000, 0.5000, 0.7661)
Au (0.0000, 0.0000, 0.5000)

Stability, descending: model one, model two

Model one:
## AgOsAu2 (GGA-PBEsol)

Data for a relaxed structure of AgOsAu2.

Lattice parameters (Å, degrees): 6.3777 6.3777 6.3777 90.00 90.00 90.00
Atoms (fractional coordinates):
Ag (0.0000, 0.0000, 0.0000)
Ag (0.0000, 0.5000, 0.5000)
Ag (0.5000, 0.0000, 0.5000)
Ag (0.5000, 0.5000, 0.0000)
Os (0.0000, 0.0000, 0.5000)
Os (0.0000, 0.5000, 0.0000)
Os (0.5000, 0.0000, 0.0000)
Os (0.5000, 0.5000, 0.5000)
Au (0.2500, 0.2500, 0.2500)
Au (0.2500, 0.2500, 0.7500)
Au (0.2500, 0.7500, 0.2500)
Au (0.2500, 0.7500, 0.7500)
Au (0.7500, 0.2500, 0.2500)
Au (0.7500, 0.2500, 0.7500)
Au (0.7500, 0.7500, 0.2500)
Au (0.7500, 0.7500, 0.7500)

Model two:
## AgOsAu2 (GGA-PBEsol)

Data for a relaxed structure of AgOsAu2.

Lattice parameters (Å, degrees): 2.8002 4.7242 9.7518 90.00 90.00 90.00
Atoms (fractional coordinates):
Ag (0.0000, 0.0000, 0.0000)
Ag (0.5000, 0.5000, 0.0000)
Os (0.0000, 0.5000, 0.7545)
Os (0.5000, 0.0000, 0.7545)
Au (0.0000, 0.0000, 0.5081)
Au (0.0000, 0.5000, 0.2513)
Au (0.5000, 0.0000, 0.2513)
Au (0.5000, 0.5000, 0.5081)

Stability, descending: model two, model one

Model one:
## AgP4Au (GGA-PBEsol)

Data for a relaxed structure of AgP4Au.

Lattice parameters (Å, degrees): 5.3286 5.3286 5.3286 60.00 60.00 60.00
Atoms (fractional coordinates):
Ag (0.0000, 0.0000, 0.0000)
P (0.1834, 0.6055, 0.6055)
P (0.6055, 0.1834, 0.6055)
P (0.6055, 0.6055, 0.1834)
P (0.6055, 0.6055, 0.6055)
Au (0.2500, 0.2500, 0.2500)

Model two:
## AgP4Au (GGA-PBEsol)

Data for a relaxed structure of AgP4Au.

Lattice parameters (Å, degrees): 3.2112 4.8265 7.7203 89.81 89.55 71.89
Atoms (fractional coordinates):
Ag (0.0000, 0.0000, 0.0000)
P (0.1722, 0.6603, 0.7409)
P (0.1781, 0.6607, 0.2592)
P (0.8219, 0.3393, 0.7408)
P (0.8278, 0.3397, 0.2591)
Au (0.0000, 0.0000, 0.5000)

Stability, descending: model two, model one

Model one:
## AgPbAu (GGA-PBEsol)

Data for a relaxed structure of AgPbAu.

Lattice parameters (Å, degrees): 3.6513 3.8327 8.7656 90.00 90.00 90.00
Atoms (fractional coordinates):
Ag (0.0000, 0.0000, 0.0000)
Ag (0.5000, 0.5000, 0.5000)
Pb (0.0000, 0.0000, 0.3266)
Pb (0.5000, 0.5000, 0.8266)
Au (0.0000, 0.0000, 0.6595)
Au (0.5000, 0.5000, 0.1595)

Model two:
## AgPbAu (GGA-PBEsol)

Data for a relaxed structure of AgPbAu.

Lattice parameters (Å, degrees): 6.5220 6.5220 6.5220 90.00 90.00 90.00
Atoms (fractional coordinates):
Ag (0.0000, 0.0000, 0.0000)
Ag (0.0000, 0.5000, 0.5000)
Ag (0.5000, 0.0000, 0.5000)
Ag (0.5000, 0.5000, 0.0000)
Pb (0.0000, 0.0000, 0.5000)
Pb (0.0000, 0.5000, 0.0000)
Pb (0.5000, 0.0000, 0.0000)
Pb (0.5000, 0.5000, 0.5000)
Au (0.2500, 0.2500, 0.7500)
Au (0.2500, 0.7500, 0.2500)
Au (0.7500, 0.2500, 0.2500)
Au (0.7500, 0.7500, 0.7500)

Stability, descending: model one, model two

Model one:
## AgPb2Au (GGA-PBEsol)

Data for a relaxed structure of AgPb2Au.

Lattice parameters (Å, degrees): 3.7761 4.4754 5.7376 90.00 108.21 90.00
Atoms (fractional coordinates):
Ag (0.0000, 0.0000, 0.0000)
Pb (0.4349, 0.5000, 0.8652)
Pb (0.7225, 0.0000, 0.4558)
Au (0.1550, 0.5000, 0.3176)

Model two:
## AgPb2Au (GGA-PBEsol)

Data for a relaxed structure of AgPb2Au.

Lattice parameters (Å, degrees): 3.4249 3.4249 7.8421 90.00 90.00 90.00
Atoms (fractional coordinates):
Ag (0.0000, 0.0000, 0.0000)
Pb (0.0000, 0.0000, 0.4165)
Pb (0.5000, 0.5000, 0.7620)
Au (0.5000, 0.5000, 0.1825)

Model three:
## AgPb2Au (GGA-PBEsol)

Data for a relaxed structure of AgPb2Au.

Lattice parameters (Å, degrees): 3.3773 5.1424 10.4790 90.00 90.00 90.00
Atoms (fractional coordinates):
Ag (0.0000, 0.0000, 0.0000)
Ag (0.5000, 0.5000, 0.5000)
Pb (0.0000, 0.0000, 0.4602)
Pb (0.0000, 0.5000, 0.2458)
Pb (0.5000, 0.0000, 0.7458)
Pb (0.5000, 0.5000, 0.9602)
Au (0.0000, 0.5000, 0.7126)
Au (0.5000, 0.0000, 0.2126)

Stability, descending: model one, model two, model three

Model one:
## AgPb2Au (GGA-PBEsol)

Data for a relaxed structure of AgPb2Au.

Lattice parameters (Å, degrees): 11.0814 3.3201 5.1964 90.00 109.06 90.00
Atoms (fractional coordinates):
Ag (0.0000, 0.0000, 0.0000)
Ag (0.5000, 0.5000, 0.0000)
Pb (0.2438, 0.0000, 0.8267)
Pb (0.4559, 0.0000, 0.4712)
Pb (0.7438, 0.5000, 0.8267)
Pb (0.9559, 0.5000, 0.4712)
Au (0.2028, 0.5000, 0.3053)
Au (0.7028, 0.0000, 0.3053)

Model two:
## AgPb2Au (GGA-PBEsol)

Data for a relaxed structure of AgPb2Au.

Lattice parameters (Å, degrees): 3.5356 3.5356 25.8735 90.00 90.00 120.00
Atoms (fractional coordinates):
Ag (0.0000, 0.0000, 0.0000)
Ag (0.3333, 0.6667, 0.6667)
Ag (0.6667, 0.3333, 0.3333)
Pb (0.0000, 0.0000, 0.2482)
Pb (0.0000, 0.0000, 0.7518)
Pb (0.3333, 0.6667, 0.4185)
Pb (0.3333, 0.6667, 0.9148)
Pb (0.6667, 0.3333, 0.0852)
Pb (0.6667, 0.3333, 0.5815)
Au (0.0000, 0.0000, 0.5000)
Au (0.3333, 0.6667, 0.1667)
Au (0.6667, 0.3333, 0.8333)

Stability, descending: model one, model two

Model one:
## Ag2PbAu2 (GGA-PBEsol)

Data for a relaxed structure of Ag2PbAu2.

Lattice parameters (Å, degrees): 7.8075 7.8075 3.1612 90.00 90.00 90.00
Atoms (fractional coordinates):
Ag (0.1661, 0.3339, 0.0000)
Ag (0.3339, 0.8339, 0.0000)
Ag (0.6661, 0.1661, 0.0000)
Ag (0.8339, 0.6661, 0.0000)
Pb (0.0000, 0.0000, 0.5000)
Pb (0.5000, 0.5000, 0.5000)
Au (0.1295, 0.6295, 0.5000)
Au (0.3705, 0.1295, 0.5000)
Au (0.6295, 0.8705, 0.5000)
Au (0.8705, 0.3705, 0.5000)

Model two:
## Ag2PbAu2 (GGA-PBEsol)

Data for a relaxed structure of Ag2PbAu2.

Lattice parameters (Å, degrees): 3.9101 3.9101 13.3967 90.00 90.00 90.00
Atoms (fractional coordinates):
Ag (0.0000, 0.5000, 0.2500)
Ag (0.0000, 0.5000, 0.7500)
Ag (0.5000, 0.0000, 0.2500)
Ag (0.5000, 0.0000, 0.7500)
Pb (0.0000, 0.0000, 0.0000)
Pb (0.5000, 0.5000, 0.5000)
Au (0.0000, 0.0000, 0.3979)
Au (0.0000, 0.0000, 0.6021)
Au (0.5000, 0.5000, 0.1021)
Au (0.5000, 0.5000, 0.8979)

Stability, descending: model one, model two